TbZnAsO | PBE | relaxed

Cell: 4.3328 6.1689 5.9086 Å, 90.00 90.00 90.00°
With the nearest neighbours (Å) after each atom.
Space group Pmc2_1 (No. 26)
Asymmetric unit:
Tb 0.0000 0.2456 0.0000 x2  2 O 2.24
Zn 0.5000 0.3623 0.6211 x2  2 O 2.07-2.10
As 0.0000 0.2267 0.4952 x2  2 Zn 2.44
O 0.5000 0.3320 0.9753 x2  2 Zn 2.07-2.10, 2 Tb 2.24

Calculated values
Calculated volume (Å³/atom): 19.74
Size of the total moment (μB/f.u.): 0.00
Raw total energy (eV/atom): -5.4888


Tc2As2O5 | PBE | relaxed

Cell: 4.0368 4.0368 6.4190 Å, 90.00 90.00 90.00°
With the nearest neighbours (Å) after each atom.
Space group P4/mmm (No. 123)
Asymmetric unit:
Tc 0.0000 0.0000 0.0000 x1  8 O 2.39
Tc 0.0000 0.0000 0.5000 x1  12 O 2.79-2.85
As 0.5000 0.5000 0.2080 x2  5 O 1.87-2.02
O 0.0000 0.5000 0.2002 x4  2 As 2.02
O 0.5000 0.5000 0.5000 x1  2 As 1.87

Calculated values
Calculated volume (Å³/atom): 11.62
Size of the total moment (μB/f.u.): 5.51
Raw total energy (eV/atom): -6.2070


Tc2As2O5 | PBE | relaxed

Cell: 3.8643 3.8643 6.6997 Å, 90.00 90.00 90.00°
With the nearest neighbours (Å) after each atom.
Space group P4/mmm (No. 123)
Asymmetric unit:
Tc 0.0000 0.0000 0.1792 x2  5 O 2.00-2.15
As 0.5000 0.5000 0.0000 x1  8 O 2.58
As 0.5000 0.5000 0.5000 x1  12 O 2.53-2.73
O 0.0000 0.0000 0.5000 x1  2 Tc 2.15
O 0.0000 0.5000 0.2562 x4  2 Tc 2.00

Calculated values
Calculated volume (Å³/atom): 11.12
Size of the total moment (μB/f.u.): 0.00
Raw total energy (eV/atom): -6.4750


Tc2AsO4 | PBE | relaxed

Cell: 8.8015 8.8015 8.8015 Å, 90.00 90.00 90.00°
With the nearest neighbours (Å) after each atom.
Space group Fd-3m (No. 227, origin choice 2)
Asymmetric unit:
Tc 0.0000 0.0000 0.0000 x16  6 O 2.12
As 0.1250 0.1250 0.6250 x8  4 O 2.05
O 0.0097 0.0097 0.2403 x32  1 As 2.05, 3 Tc 2.12

Calculated values
Calculated volume (Å³/atom): 12.18
Size of the total moment (μB/f.u.): 3.05
Raw total energy (eV/atom): -7.1179


TcTeAsO | PBE | relaxed

Cell: 4.1563 4.1563 9.0941 Å, 90.00 90.00 90.00°
With the nearest neighbours (Å) after each atom.
Space group P4/nmm (No. 129, origin choice 2)
Asymmetric unit:
Tc 0.2500 0.2500 0.0482 x2  4 O 2.12
Te 0.2500 0.7500 0.5000 x2  4 Te 2.94, 4 As 3.29
As 0.2500 0.2500 0.7806 x2  1 Tc 2.43
O 0.2500 0.7500 0.0000 x2  4 Tc 2.12

Calculated values
Calculated volume (Å³/atom): 19.64
Size of the total moment (μB/f.u.): 1.34
Raw total energy (eV/atom): -5.4608


TcTeAsO | PBE | relaxed

Cell: 4.2237 5.6880 7.4462 Å, 90.00 90.00 90.00°
With the nearest neighbours (Å) after each atom.
Space group Pmc2_1 (No. 26)
Asymmetric unit:
Tc 0.0000 0.0036 0.0000 x2  2 O 1.88-1.89
Te 0.5000 0.2976 0.5707 x2  2 Tc 2.77, 2 As 2.78-2.85
As 0.5000 0.2401 0.9511 x2  2 Tc 2.53, 1 Te 2.78
O 0.0000 0.0493 0.2512 x2  2 Tc 1.88-1.89

Calculated values
Calculated volume (Å³/atom): 22.36
Size of the total moment (μB/f.u.): 0.00
Raw total energy (eV/atom): -6.1988


TcTeAsO | PBE | relaxed

Cell: 5.4523 5.4606 9.2448 Å, 90.00 90.00 90.00°
With the nearest neighbours (Å) after each atom.
Space group Cmme (No. 67)
Asymmetric unit:
Tc 0.2500 0.0000 0.0000 x4  4 As 2.53, 4 Tc 2.73
Te 0.0000 0.2500 0.3611 x4  4 O 2.32
As 0.0000 0.2500 0.8232 x4  4 Tc 2.53
O 0.2500 0.0000 0.5000 x4  4 Te 2.32

Calculated values
Calculated volume (Å³/atom): 17.20
Size of the total moment (μB/f.u.): 0.07
Raw total energy (eV/atom): -5.6854


TcTeAsO | PBE | relaxed

Cell: 3.7343 7.1475 6.5642 Å, 90.00 90.00 90.00°
With the nearest neighbours (Å) after each atom.
Space group Pmc2_1 (No. 26)
Asymmetric unit:
Tc 0.0000 0.1929 0.0000 x2  2 O 1.87
Te 0.5000 0.3426 0.5336 x2  2 As 2.67
As 0.0000 0.1250 0.3659 x2  2 Tc 2.44-2.45, 2 Te 2.67
O 0.5000 0.1998 0.0000 x2  2 Tc 1.87

Calculated values
Calculated volume (Å³/atom): 21.90
Size of the total moment (μB/f.u.): 0.01
Raw total energy (eV/atom): -5.9913


TcTeAsO | PBE | relaxed

Cell: 4.0407 4.0407 9.4162 Å, 90.00 90.00 90.00°
With the nearest neighbours (Å) after each atom.
Space group P4/nmm (No. 129, origin choice 2)
Asymmetric unit:
Tc 0.2500 0.2500 0.0752 x2  4 O 2.14
Te 0.2500 0.7500 0.5000 x2  4 Te 2.86
As 0.2500 0.2500 0.8073 x2  1 Tc 2.52, 4 O 2.72
O 0.2500 0.7500 0.0000 x2  4 Tc 2.14

Calculated values
Calculated volume (Å³/atom): 19.22
Size of the total moment (μB/f.u.): 0.42
Raw total energy (eV/atom): -5.4714


TlTcAsO | PBE | relaxed

Cell: 4.1759 4.1759 9.8504 Å, 90.00 90.00 90.00°
With the nearest neighbours (Å) after each atom.
Space group P4/nmm (No. 129, origin choice 2)
Asymmetric unit:
Tl 0.2500 0.7500 0.0000 x2  4 Tl 2.95, 4 As 3.09
Tc 0.2500 0.2500 0.4599 x2  4 O 2.13, 1 As 2.26
As 0.2500 0.2500 0.2307 x2  1 Tc 2.26
O 0.2500 0.7500 0.5000 x2  4 Tc 2.13

Calculated values
Calculated volume (Å³/atom): 21.47
Size of the total moment (μB/f.u.): 0.83
Raw total energy (eV/atom): -5.5840


TlTcAsO | PBE | relaxed

Cell: 4.2049 4.2049 8.8039 Å, 90.00 90.00 90.00°
With the nearest neighbours (Å) after each atom.
Space group P4/nmm (No. 129, origin choice 2)
Asymmetric unit:
Tl 0.2500 0.7500 0.0000 x2  4 Tl 2.97, 4 As 3.13
Tc 0.2500 0.2500 0.4523 x2  4 O 2.14
As 0.2500 0.2500 0.7365 x2  1 Tc 2.50
O 0.2500 0.7500 0.5000 x2  4 Tc 2.14

Calculated values
Calculated volume (Å³/atom): 19.46
Size of the total moment (μB/f.u.): 1.83
Raw total energy (eV/atom): -5.3460


TlTcAsO | PBE | relaxed

Cell: 4.1356 4.1356 7.8823 Å, 90.00 90.00 90.00°
With the nearest neighbours (Å) after each atom.
Space group P4/nmm (No. 129, origin choice 2)
Asymmetric unit:
Tl 0.2500 0.2500 0.1403 x2  4 O 2.34
Tc 0.2500 0.7500 0.5000 x2  4 As 2.51
As 0.2500 0.2500 0.6802 x2  4 Tc 2.51
O 0.2500 0.7500 0.0000 x2  4 Tl 2.34

Calculated values
Calculated volume (Å³/atom): 16.85
Size of the total moment (μB/f.u.): 0.53
Raw total energy (eV/atom): -5.6646